Entry 1:
The following is a DFT calculation (PBE-GGA) of a relaxed structure of Cs2BPd.

- theoretical density (g/cm³) = 4.4
- N(E_F) (states/eV/f.u.) = 4.0
- offset from the most stable computed form (meV/atom) = 67

Structure (CIF):
```
data_Cs2BPd
_chemical_formula_sum 'Cs8 B4 Pd4'
_cell_length_a 9.1170
_cell_length_b 9.1170
_cell_length_c 6.9112
_cell_angle_alpha 90.00
_cell_angle_beta 90.00
_cell_angle_gamma 90.00
_symmetry_space_group_name_H-M 'I -4 2 d'
_symmetry_Int_Tables_number 122
_symmetry_space_group_name_Hall 'I -4 2bw'
loop_
_atom_site_label
_atom_site_type_symbol
_atom_site_fract_x
_atom_site_fract_y
_atom_site_fract_z
_atom_site_occupancy
Cs1 Cs 0.2451 0.2500 0.1250 1
B1 B 0.0000 0.0000 0.5000 1
Pd1 Pd 0.0000 0.0000 0.0000 1
```

---

Entry 2:
The following is a DFT calculation (PBE-GGA) of a relaxed structure of BaLaRe2.

- theoretical density (g/cm³) = 12.1
- N(E_F) (states/eV/f.u.) = 6.9
- offset from the most stable computed form (meV/atom) = 1040

Structure (CIF):
```
data_BaLaRe2
_chemical_formula_sum 'Ba2 La2 Re4'
_cell_length_a 3.3612
_cell_length_b 5.1234
_cell_length_c 10.3214
_cell_angle_alpha 90.00
_cell_angle_beta 90.00
_cell_angle_gamma 90.00
_symmetry_space_group_name_H-M 'I m m m'
_symmetry_Int_Tables_number 71
_symmetry_space_group_name_Hall '-I 2 2'
loop_
_atom_site_label
_atom_site_type_symbol
_atom_site_fract_x
_atom_site_fract_y
_atom_site_fract_z
_atom_site_occupancy
Ba1 Ba 0.0000 0.0000 0.0000 1
La1 La 0.0000 0.0000 0.5000 1
Re1 Re 0.0000 0.5000 0.2432 1
```